No. 1
This record from Alexandria describes MoOs2Pt after structural relaxation. The functional is PBE.

Geometry as CIF:
```
data_MoOs2Pt
_cell_length_a 4.4242
_cell_length_b 4.4242
_cell_length_c 4.4242
_cell_angle_alpha 60.00
_cell_angle_beta 60.00
_cell_angle_gamma 60.00
_space_group_name_H-M_alt 'P 1'
_space_group_IT_number 1
_space_group_name_Hall 'P 1'
loop_
_atom_site_label
_atom_site_type_symbol
_atom_site_fract_x
_atom_site_fract_y
_atom_site_fract_z
Os1 Os 0.7500 0.7500 0.7500
Pt1 Pt 0.2500 0.2500 0.2500
Os2 Os 0.0000 0.0000 0.0000
Mo1 Mo 0.5000 0.5000 0.5000
```

---

No. 2
This record from Alexandria describes MoOs2Pt after structural relaxation. The functional is PBE.

Geometry as CIF:
```
data_MoOs2Pt
_cell_length_a 9.2383
_cell_length_b 9.2383
_cell_length_c 9.2383
_cell_angle_alpha 17.16
_cell_angle_beta 17.16
_cell_angle_gamma 17.16
_space_group_name_H-M_alt 'P 1'
_space_group_IT_number 1
_space_group_name_Hall 'P 1'
loop_
_atom_site_label
_atom_site_type_symbol
_atom_site_fract_x
_atom_site_fract_y
_atom_site_fract_z
Pt1 Pt 0.5002 0.5002 0.5002
Os1 Os 0.9984 0.9984 0.9984
Mo1 Mo 0.7488 0.7488 0.7488
Os2 Os 0.2527 0.2527 0.2527
```

---

No. 3
This record from Alexandria describes MoOsPt2 after structural relaxation. The functional is PBE.

Geometry as CIF:
```
data_MoOsPt2
_cell_length_a 3.8729
_cell_length_b 3.8726
_cell_length_c 4.0480
_cell_angle_alpha 90.00
_cell_angle_beta 90.00
_cell_angle_gamma 90.00
_space_group_name_H-M_alt 'P 1'
_space_group_IT_number 1
_space_group_name_Hall 'P 1'
loop_
_atom_site_label
_atom_site_type_symbol
_atom_site_fract_x
_atom_site_fract_y
_atom_site_fract_z
Pt1 Pt 0.5000 0.5000 0.0000
Os1 Os 0.0000 0.5000 0.5000
Pt2 Pt 0.0000 0.0000 0.0000
Mo1 Mo 0.5000 0.0000 0.5000
```

---

No. 4
This record from Alexandria describes MoOsPt2 after structural relaxation. The functional is PBE.

Geometry as CIF:
```
data_MoOsPt2
_cell_length_a 2.7318
_cell_length_b 2.7318
_cell_length_c 8.1427
_cell_angle_alpha 90.00
_cell_angle_beta 90.00
_cell_angle_gamma 89.99
_space_group_name_H-M_alt 'P 1'
_space_group_IT_number 1
_space_group_name_Hall 'P 1'
loop_
_atom_site_label
_atom_site_type_symbol
_atom_site_fract_x
_atom_site_fract_y
_atom_site_fract_z
Pt1 Pt 0.0000 0.0000 0.5028
Mo1 Mo 0.5000 0.5000 0.2500
Os1 Os 0.5000 0.5000 0.7500
Pt2 Pt 0.0000 0.0000 0.9972
```

---

No. 5
This record from Alexandria describes MoOs2Pt after structural relaxation. The functional is PBE.

Geometry as CIF:
```
data_MoOs2Pt
_cell_length_a 3.2910
_cell_length_b 3.2910
_cell_length_c 5.6314
_cell_angle_alpha 90.00
_cell_angle_beta 90.00
_cell_angle_gamma 90.00
_space_group_name_H-M_alt 'P 1'
_space_group_IT_number 1
_space_group_name_Hall 'P 1'
loop_
_atom_site_label
_atom_site_type_symbol
_atom_site_fract_x
_atom_site_fract_y
_atom_site_fract_z
Pt1 Pt 0.5000 0.5000 0.2500
Mo1 Mo 0.5000 0.5000 0.7500
Os1 Os 0.0000 0.0000 0.0018
Os2 Os 0.0000 0.0000 0.4982
```

---

No. 6
This record from Alexandria describes MoOsPt2 after structural relaxation. The functional is PBE.

Geometry as CIF:
```
data_MoOsPt2
_cell_length_a 2.7765
_cell_length_b 2.7765
_cell_length_c 7.9467
_cell_angle_alpha 90.00
_cell_angle_beta 90.00
_cell_angle_gamma 90.00
_space_group_name_H-M_alt 'P 1'
_space_group_IT_number 1
_space_group_name_Hall 'P 1'
loop_
_atom_site_label
_atom_site_type_symbol
_atom_site_fract_x
_atom_site_fract_y
_atom_site_fract_z
Os1 Os 0.5000 0.5000 0.7418
Pt1 Pt 0.5000 0.5000 0.2587
Mo1 Mo 0.0000 0.0000 0.5085
Pt2 Pt 0.0000 0.0000 0.9909
```

---

No. 7
This record from Alexandria describes Mo3OsPt after structural relaxation. The functional is PBE.

Geometry as CIF:
```
data_Mo3OsPt
_cell_length_a 4.6753
_cell_length_b 4.6753
_cell_length_c 4.6753
_cell_angle_alpha 90.00
_cell_angle_beta 90.00
_cell_angle_gamma 90.00
_space_group_name_H-M_alt 'P 1'
_space_group_IT_number 1
_space_group_name_Hall 'P 1'
loop_
_atom_site_label
_atom_site_type_symbol
_atom_site_fract_x
_atom_site_fract_y
_atom_site_fract_z
Mo1 Mo 0.5000 0.0000 0.0000
Mo2 Mo 0.0000 0.5000 0.0000
Mo3 Mo 0.0000 0.0000 0.5000
Os1 Os 0.0000 0.0000 0.0000
Pt1 Pt 0.5000 0.5000 0.5000
```

---

No. 8
This record from Alexandria describes MoOsPt2 after structural relaxation. The functional is PBE.

Geometry as CIF:
```
data_MoOsPt2
_cell_length_a 4.4542
_cell_length_b 4.4542
_cell_length_c 4.4542
_cell_angle_alpha 60.00
_cell_angle_beta 60.00
_cell_angle_gamma 60.00
_space_group_name_H-M_alt 'P 1'
_space_group_IT_number 1
_space_group_name_Hall 'P 1'
loop_
_atom_site_label
_atom_site_type_symbol
_atom_site_fract_x
_atom_site_fract_y
_atom_site_fract_z
Mo1 Mo 0.0000 0.0000 0.0000
Pt1 Pt 0.7500 0.7500 0.7500
Os1 Os 0.5000 0.5000 0.5000
Pt2 Pt 0.2500 0.2500 0.2500
```

---

| no. | energy of formation (eV/atom) | DFT total energy (eV per atom) |
| --- | --- | --- |
| 1 | 0.481 | -9.3519 |
| 2 | 0.059 | -9.7734 |
| 3 | -0.072 | -8.6071 |
| 4 | 0.005 | -8.5306 |
| 5 | 0.303 | -9.5299 |
| 6 | -0.098 | -8.6332 |
| 7 | 1.593 | -8.3599 |
| 8 | 0.366 | -8.1695 |